1.
PmTh3Pb5: relaxed, GGA-PBE.

Lattice parameters (Å, degrees): 9.8000 9.8000 6.5776 90.00 90.00 120.00
Closest atoms and distances in Å follow each position.
Positions (direct):
Pm1 0.0000 0.0000 0.0000  6 Pb 3.23, 2 Pm 3.29
Pm2 0.0000 0.0000 0.5000  6 Pb 3.23, 2 Pm 3.29
Th1 0.0000 0.3833 0.2500  9 Pb 3.27-3.47
Th2 0.0000 0.6167 0.7500  9 Pb 3.27-3.47
Th3 0.3833 0.0000 0.2500  9 Pb 3.27-3.47
Th4 0.3833 0.3833 0.7500  9 Pb 3.27-3.47
Th5 0.6167 0.0000 0.7500  9 Pb 3.27-3.47
Th6 0.6167 0.6167 0.2500  9 Pb 3.27-3.47
Pb1 0.0000 0.2833 0.7500  2 Pm 3.23, 5 Th 3.27-3.43
Pb2 0.0000 0.7167 0.2500  2 Pm 3.23, 5 Th 3.27-3.43
Pb3 0.2833 0.0000 0.7500  2 Pm 3.23, 5 Th 3.27-3.43
Pb4 0.2833 0.2833 0.2500  2 Pm 3.23, 5 Th 3.27-3.43
Pb5 0.3333 0.6667 0.0000  2 Pb 3.29, 6 Th 3.47
Pb6 0.3333 0.6667 0.5000  2 Pb 3.29, 6 Th 3.47
Pb7 0.6667 0.3333 0.0000  2 Pb 3.29, 6 Th 3.47
Pb8 0.6667 0.3333 0.5000  2 Pb 3.29, 6 Th 3.47
Pb9 0.7167 0.0000 0.2500  2 Pm 3.23, 5 Th 3.27-3.43
Pb10 0.7167 0.7167 0.7500  2 Pm 3.23, 5 Th 3.27-3.43

Output
ΔE_f	-0.34	eV/atom
V	30.39	A^3/atom


2.
PmTmThPb: relaxed, GGA-PBE.

Lattice parameters (Å, degrees): 5.5156 5.5156 5.5156 60.00 60.00 60.00
Closest atoms and distances in Å follow each position.
Positions (direct):
Pm1 0.0000 0.0000 0.0000  4 Th 3.38, 4 Pb 3.38
Tm1 0.5000 0.5000 0.5000  4 Th 3.38, 4 Pb 3.38
Th1 0.2500 0.2500 0.2500  4 Tm 3.38, 4 Pm 3.38
Pb1 0.7500 0.7500 0.7500  4 Pm 3.38, 4 Tm 3.38

Output
ΔE_f	-0.03	eV/atom
V	29.66	A^3/atom


3.
PmThZnPb: relaxed, GGA-PBE.

Lattice parameters (Å, degrees): 5.4018 5.4018 5.4018 60.00 60.00 60.00
Closest atoms and distances in Å follow each position.
Positions (direct):
Pm1 0.0000 0.0000 0.0000  4 Pb 3.31, 4 Zn 3.31
Th1 0.5000 0.5000 0.5000  4 Pb 3.31, 4 Zn 3.31
Zn1 0.2500 0.2500 0.2500  4 Th 3.31, 4 Pm 3.31
Pb1 0.7500 0.7500 0.7500  4 Th 3.31, 4 Pm 3.31

Output
ΔE_f	-0.24	eV/atom
V	27.86	A^3/atom


4.
Pm2TiPb: relaxed, GGA-PBE.

Lattice parameters (Å, degrees): 5.0216 5.0216 4.3972 90.00 90.00 90.00
Closest atoms and distances in Å follow each position.
Positions (direct):
Pm1 0.0000 0.5000 0.0000  4 Pb 3.34, 4 Ti 3.34, 4 Pm 3.55
Pm2 0.5000 0.0000 0.0000  4 Pb 3.34, 4 Ti 3.34, 4 Pm 3.55
Ti1 0.0000 0.0000 0.5000  8 Pm 3.34, 4 Pb 3.55
Pb1 0.5000 0.5000 0.5000  8 Pm 3.34, 4 Ti 3.55

Output
ΔE_f	-0.10	eV/atom
V	27.72	A^3/atom